# K4Ag2SbAs (PBE, relaxed)
data_K4Ag2SbAs
_space_group_name_H-M_alt 'A m m 2'
_space_group_IT_number 38
_cell_length_a 6.214
_cell_length_b 10.312
_cell_length_c 8.123
_cell_angle_alpha 90.00
_cell_angle_beta 90.00
_cell_angle_gamma 90.00
loop_
_space_group_symop_operation_xyz
'x,y,z'
'-x,-y,z'
'-x,y,z'
'x,-y,z'
'x,y+1/2,z+1/2'
'-x,-y+1/2,z+1/2'
'-x,y+1/2,z+1/2'
'x,-y+1/2,z+1/2'
loop_
_atom_site_label
_atom_site_type_symbol
_atom_site_fract_x
_atom_site_fract_y
_atom_site_fract_z
K1 K 0.000 0.169 0.000
K2 K 0.500 0.177 0.290
Ag1 Ag 0.257 0.000 0.661
Sb1 Sb 0.000 0.000 0.390
As1 As 0.500 0.000 0.917
# Total DFT energy (no corrections): -44.2 eV/cell
# Volume: 520.56 Å³ per cell


# RbTbTeO (PBE, relaxed)
data_RbTbTeO
_space_group_name_H-M_alt 'P m c 21'
_space_group_IT_number 26
_cell_length_a 4.839
_cell_length_b 8.720
_cell_length_c 6.997
_cell_angle_alpha 90.00
_cell_angle_beta 90.00
_cell_angle_gamma 90.00
loop_
_space_group_symop_operation_xyz
'x,y,z'
'-x,-y,z+1/2'
'-x,y,z'
'x,-y,z+1/2'
loop_
_atom_site_label
_atom_site_type_symbol
_atom_site_fract_x
_atom_site_fract_y
_atom_site_fract_z
Rb1 Rb 0.000 0.212 0.000
Tb1 Tb 0.500 0.394 0.406
Te1 Te 0.000 0.205 0.505
O1 O 0.500 0.422 0.103
# Total DFT energy (no corrections): -43.1 eV/cell
# Energy above the most stable polymorph in this dataset: 0.149 eV/atom
# Volume: 295.23 Å³ per cell


# RbPtO3 (PBE, relaxed)
data_RbPtO3
_space_group_name_H-M_alt 'P n m a'
_space_group_IT_number 62
_cell_length_a 5.668
_cell_length_b 8.112
_cell_length_c 5.736
_cell_angle_alpha 90.00
_cell_angle_beta 90.00
_cell_angle_gamma 90.00
loop_
_space_group_symop_operation_xyz
'x,y,z'
'-x,-y,-z'
'-x+1/2,-y,z+1/2'
'x+1/2,y,-z+1/2'
'x+1/2,-y+1/2,-z+1/2'
'-x+1/2,y+1/2,z+1/2'
'-x,y+1/2,-z'
'x,-y+1/2,z'
loop_
_atom_site_label
_atom_site_type_symbol
_atom_site_fract_x
_atom_site_fract_y
_atom_site_fract_z
Rb1 Rb 0.016 0.250 0.002
Pt1 Pt 0.000 0.000 0.500
O1 O 0.008 0.250 0.546
O2 O 0.219 0.521 0.781
# Total DFT energy (no corrections): -97.1 eV/cell
# Volume: 263.75 Å³ per cell


# Li2Zn2Ga2AgPd (PBE, relaxed)
data_Li2Zn2Ga2AgPd
_space_group_name_H-M_alt 'P -4 m 2'
_space_group_IT_number 115
_cell_length_a 4.383
_cell_length_b 4.383
_cell_length_c 6.186
_cell_angle_alpha 90.00
_cell_angle_beta 90.00
_cell_angle_gamma 90.00
loop_
_space_group_symop_operation_xyz
'x,y,z'
'y,-x,-z'
'-x,-y,z'
'-y,x,-z'
'-x,y,z'
'-y,-x,-z'
'x,-y,z'
'y,x,-z'
loop_
_atom_site_label
_atom_site_type_symbol
_atom_site_fract_x
_atom_site_fract_y
_atom_site_fract_z
Li1 Li 0.000 0.000 0.000
Li2 Li 0.500 0.500 0.500
Zn1 Zn 0.000 0.500 0.741
Ga1 Ga 0.000 0.500 0.264
Ag1 Ag 0.500 0.500 0.000
Pd1 Pd 0.000 0.000 0.500
# Total DFT energy (no corrections): -23.2 eV/cell
# Volume: 118.84 Å³ per cell


# LaLuTl (PBE, relaxed)
data_LaLuTl
_space_group_name_H-M_alt 'F -4 3 m'
_space_group_IT_number 216
_space_group_name_Hall 'F -4 2 3'
_cell_length_a 7.487
_cell_length_b 7.487
_cell_length_c 7.487
_cell_angle_alpha 90.00
_cell_angle_beta 90.00
_cell_angle_gamma 90.00
loop_
_atom_site_label
_atom_site_type_symbol
_atom_site_fract_x
_atom_site_fract_y
_atom_site_fract_z
La1 La 0.000 0.000 0.000
Lu1 Lu 0.250 0.250 0.750
Tl1 Tl 0.250 0.250 0.250
# Total DFT energy (no corrections): -42.6 eV/cell
# Energy above the most stable polymorph in this dataset: 0.427 eV/atom
# Volume: 419.72 Å³ per cell


# AcCuSi (PBE, relaxed)
data_AcCuSi
_space_group_name_H-M_alt 'F -4 3 m'
_space_group_IT_number 216
_space_group_name_Hall 'F -4 2 3'
_cell_length_a 6.797
_cell_length_b 6.797
_cell_length_c 6.797
_cell_angle_alpha 90.00
_cell_angle_beta 90.00
_cell_angle_gamma 90.00
loop_
_atom_site_label
_atom_site_type_symbol
_atom_site_fract_x
_atom_site_fract_y
_atom_site_fract_z
Ac1 Ac 0.000 0.000 0.000
Cu1 Cu 0.000 0.000 0.500
Si1 Si 0.250 0.250 0.250
# Total DFT energy (no corrections): -54.2 eV/cell
# Energy above the most stable polymorph in this dataset: 0.427 eV/atom
# Volume: 314.05 Å³ per cell


# SmTaGe (PBE, relaxed)
data_SmTaGe
_space_group_name_H-M_alt 'F -4 3 m'
_space_group_IT_number 216
_space_group_name_Hall 'F -4 2 3'
_cell_length_a 6.908
_cell_length_b 6.908
_cell_length_c 6.908
_cell_angle_alpha 90.00
_cell_angle_beta 90.00
_cell_angle_gamma 90.00
loop_
_atom_site_label
_atom_site_type_symbol
_atom_site_fract_x
_atom_site_fract_y
_atom_site_fract_z
Sm1 Sm 0.000 0.000 0.000
Ta1 Ta 0.250 0.250 0.250
Ge1 Ge 0.250 0.250 0.750
# Total DFT energy (no corrections): -71.2 eV/cell
# Volume: 329.67 Å³ per cell


# Li2SnGeAu2 (PBE, relaxed)
data_Li2SnGeAu2
_space_group_name_H-M_alt 'P -6 m 2'
_space_group_IT_number 187
_space_group_name_Hall 'P -6 2'
_cell_length_a 4.6349
_cell_length_b 4.6349
_cell_length_c 5.9412
_cell_angle_alpha 90.00
_cell_angle_beta 90.00
_cell_angle_gamma 120.00
loop_
_atom_site_label
_atom_site_type_symbol
_atom_site_fract_x
_atom_site_fract_y
_atom_site_fract_z
Li1 Li 0.0000 0.0000 0.2451
Sn1 Sn 0.6667 0.3333 0.5000
Ge1 Ge 0.3333 0.6667 0.0000
Au1 Au 0.3333 0.6667 0.5000
Au2 Au 0.6667 0.3333 0.0000
# Total DFT energy (no corrections): -21.3 eV/cell
# Volume: 110.53 Å³ per cell


# YMgTlPd (PBE, relaxed)
data_YMgTlPd
_space_group_name_H-M_alt 'F -4 3 m'
_space_group_IT_number 216
_space_group_name_Hall 'F -4 2 3'
_cell_length_a 6.960
_cell_length_b 6.960
_cell_length_c 6.960
_cell_angle_alpha 90.00
_cell_angle_beta 90.00
_cell_angle_gamma 90.00
loop_
_atom_site_label
_atom_site_type_symbol
_atom_site_fract_x
_atom_site_fract_y
_atom_site_fract_z
Y1 Y 0.000 0.000 0.000
Mg1 Mg 0.250 0.250 0.250
Tl1 Tl 0.000 0.000 0.500
Pd1 Pd 0.250 0.250 0.750
# Total DFT energy (no corrections): -68.7 eV/cell
# Energy above the most stable polymorph in this dataset: 0.095 eV/atom
# Volume: 337.11 Å³ per cell


# ZrSeS2 (PBE, relaxed)
data_ZrSeS2
_space_group_name_H-M_alt 'P 1 21/m 1'
_space_group_IT_number 11
_cell_length_a 5.408
_cell_length_b 3.702
_cell_length_c 9.546
_cell_angle_alpha 90.00
_cell_angle_beta 97.39
_cell_angle_gamma 90.00
loop_
_space_group_symop_operation_xyz
'x,y,z'
'-x,-y,-z'
'-x,y+1/2,-z'
'x,-y+1/2,z'
loop_
_atom_site_label
_atom_site_type_symbol
_atom_site_fract_x
_atom_site_fract_y
_atom_site_fract_z
Zr1 Zr 0.214 0.250 0.342
Se1 Se 0.263 0.750 0.557
S1 S 0.017 0.250 0.820
S2 S 0.367 0.750 0.177
# Total DFT energy (no corrections): -49.6 eV/cell
# Volume: 189.52 Å³ per cell


# TaZnFePd (PBE, relaxed)
data_TaZnFePd
_space_group_name_H-M_alt 'F -4 3 m'
_space_group_IT_number 216
_space_group_name_Hall 'F -4 2 3'
_cell_length_a 6.226
_cell_length_b 6.226
_cell_length_c 6.226
_cell_angle_alpha 90.00
_cell_angle_beta 90.00
_cell_angle_gamma 90.00
loop_
_atom_site_label
_atom_site_type_symbol
_atom_site_fract_x
_atom_site_fract_y
_atom_site_fract_z
Ta1 Ta 0.000 0.000 0.000
Zn1 Zn 0.250 0.250 0.250
Fe1 Fe 0.000 0.000 0.500
Pd1 Pd 0.250 0.250 0.750
# Total DFT energy (no corrections): -104.9 eV/cell
# E_form: 0.0920 eV per atom
# Energy above the most stable polymorph in this dataset: 0.238 eV/atom
# Volume: 241.32 Å³ per cell


# Sr2NbCu (PBE, relaxed)
data_Sr2NbCu
_space_group_name_H-M_alt 'F -4 3 m'
_space_group_IT_number 216
_space_group_name_Hall 'F -4 2 3'
_cell_length_a 7.536
_cell_length_b 7.536
_cell_length_c 7.536
_cell_angle_alpha 90.00
_cell_angle_beta 90.00
_cell_angle_gamma 90.00
loop_
_atom_site_label
_atom_site_type_symbol
_atom_site_fract_x
_atom_site_fract_y
_atom_site_fract_z
Sr1 Sr 0.000 0.000 0.000
Sr2 Sr 0.250 0.250 0.250
Nb1 Nb 0.000 0.000 0.500
Cu1 Cu 0.250 0.250 0.750
# Total DFT energy (no corrections): -54.5 eV/cell
# Volume: 428.06 Å³ per cell